Entry 1:
Density functional theory data (GGA-PBEsol) for a relaxed SrGeTeCl2 crystal.

Uncorrected formation energy: -1098 meV per atom
Crystal system: tetragonal

Lattice parameters (Å, degrees): 5.008 5.008 5.763 90.00 90.00 90.00
Element x y z (fractional)
Ge1 0.000 0.000 0.000
Cl1 0.500 0.000 0.000
Cl2 0.000 0.500 0.000
Sr1 0.500 0.500 0.500
Te1 0.000 0.000 0.500



Entry 2:
Density functional theory data (GGA-PBEsol) for a relaxed TaGeCl3 crystal.

Uncorrected formation energy: -5 meV per atom
Crystal system: cubic

Lattice parameters (Å, degrees): 4.795 4.795 4.795 90.00 90.00 90.00
Element x y z (fractional)
Ta1 0.000 0.000 0.000
Cl1 0.500 0.000 0.000
Cl2 0.000 0.500 0.000
Cl3 0.000 0.000 0.500
Ge1 0.500 0.500 0.500



Entry 3:
Density functional theory data (GGA-PBEsol) for a relaxed Ta3GeCl crystal.

Uncorrected formation energy: 1572 meV per atom
Crystal system: cubic

Lattice parameters (Å, degrees): 4.773 4.773 4.773 90.00 90.00 90.00
Element x y z (fractional)
Ta1 0.500 0.000 0.000
Ta2 0.000 0.000 0.500
Ta3 0.000 0.500 0.000
Cl1 0.500 0.500 0.500
Ge1 0.000 0.000 0.000



Entry 4:
Density functional theory data (GGA-PBEsol) for a relaxed TcGe3Cl crystal.

Uncorrected formation energy: -143 meV per atom
Crystal system: cubic

Lattice parameters (Å, degrees): 4.745 4.745 4.745 90.00 90.00 90.00
Element x y z (fractional)
Ge1 0.000 0.500 0.000
Ge2 0.500 0.000 0.000
Ge3 0.000 0.000 0.500
Cl1 0.500 0.500 0.500
Tc1 0.000 0.000 0.000



Number 1: DFT total energy -3.962 eV per atom. Number 2: DFT total energy -4.708 eV per atom. Number 3: DFT total energy -7.348 eV per atom. Number 4: DFT total energy -5.762 eV per atom.